CoSb2Te | PBE | relaxed

Results
Space-group type ... I-4m2
Total moment ... 0.39 μB/atom
Electronic total energy ... -4.051 eV/atom

```
CoSb2Te
1.0
5.078 0.267 0.000
-0.232 5.080 0.000
-2.423 -2.674 3.583
Te Sb Co
1 2 1
direct
0.500 0.500 0.000
0.250 0.750 0.500
0.000 0.000 0.000
0.750 0.250 0.500
```